! SrNd2Sm3Te6, relaxed, DFT GGA-PBE; values from VASP
! Size of the total moment in μB/f.u.: 0.00
! SG: C2/m, No. 12
! Total energy in eV for the cell shown: -61.580
! Uncorrected formation energy in meV per atom: -1446
&SYSTEM
  ibrav = 0, nat = 12, ntyp = 4
/
ATOMIC_SPECIES
Te 127.60 Te.upf
Sm 150.36 Sm.upf
Nd 144.24 Nd.upf
Sr 87.62 Sr.upf
CELL_PARAMETERS angstrom
-3.1280 -3.0001 1.1912
2.9421 0.3281 8.5520
-5.3080 8.5192 -0.9624
ATOMIC_POSITIONS crystal
Te 0.3367 0.4160 0.6733
Te 0.6633 0.5840 0.3267
Te 0.3303 0.9198 0.6605
Te 0.6697 0.0802 0.3395
Te 0.9986 0.7427 0.9972
Te 0.0014 0.2573 0.0028
Sm 0.8341 0.1777 0.6682
Sm 0.5000 0.5000 0.0000
Sm 0.1659 0.8223 0.3318
Nd 0.8281 0.6555 0.6562
Nd 0.1719 0.3445 0.3438
Sr 0.5000 0.0000 0.0000